Entry 1:
A plane-wave DFT calculation with PBE-GGA was carried out for a relaxed structure of Na5SnCl8.

POSCAR file:
```
Na5SnCl8
1.0
-6.5276 -2.2997 3.4930
2.5680 -4.6500 -5.6465
5.5083 0.1081 5.4541
Cl Na Sn
8 5 1
Cartesian
4.5206 -2.5162 1.9528 Cl
2.6077 -3.9402 -3.2112 Cl
1.2623 -2.2005 -0.0184 Cl
1.0067 -2.4177 3.8065 Cl
5.6212 -4.4348 -0.8227 Cl
0.0088 -5.3596 -0.7959 Cl
-2.4389 -3.3898 1.6376 Cl
2.7017 -5.4580 1.5139 Cl
-1.9798 -3.4748 -1.0768 Na
2.5478 -0.6797 2.0083 Na
0.1192 -4.1991 1.9005 Na
0.2831 -3.4707 6.1804 Na
0.1472 -5.3338 -3.4881 Na
3.0482 -4.0084 -0.6346 Sn
```

Output
As for the magnetic moment: 0.6 μB/f.u. The symmetry is I-4. As for the density: 2.41 g/cm³. The value obtained for the electronic total energy is -45.90 eV/cell.

=====

Entry 2:
A plane-wave DFT calculation with PBE-GGA was carried out for a relaxed structure of Na3Sn2Cl8.

POSCAR file:
```
Na3Sn2Cl8
1.0
6.7206 0.0000 0.1607
0.0000 8.1215 0.0000
-2.5217 -4.0607 6.6788
Na Cl Sn
3 8 2
Cartesian
3.3603 0.0000 0.0803 Na
0.0000 6.0187 0.0000 Na
0.0000 2.1028 0.0000 Na
2.1662 6.2247 1.7778 Cl
5.7493 0.0000 1.7943 Cl
2.1662 1.8968 1.7778 Cl
-1.1421 0.0000 5.2194 Cl
-1.5504 4.0607 5.0452 Cl
2.0327 2.1639 5.0616 Cl
5.3410 4.0607 1.6200 Cl
2.0327 -2.1639 5.0616 Cl
3.3191 4.0607 3.2676 Sn
0.8797 0.0000 3.5719 Sn
```

Output
As for the magnetic moment: 0.0 μB/f.u. The symmetry is C2/m. As for the density: 2.66 g/cm³. The value obtained for the electronic total energy is -43.20 eV/cell.

=====

Entry 3:
A plane-wave DFT calculation with PBE-GGA was carried out for a relaxed structure of NaSn2Cl.

POSCAR file:
```
NaSn2Cl
1.0
4.7128 0.6436 2.3836
0.2691 0.3956 5.2988
2.0979 -3.9652 2.8605
Sn Na Cl
2 1 1
Cartesian
5.3099 -2.1945 7.9072 Sn
1.7700 -0.7315 2.6357 Sn
0.0000 0.0000 0.0000 Na
3.5399 -1.4630 5.2715 Cl
```

Output
As for the magnetic moment: 0.0 μB/f.u. The symmetry is Fm-3m. As for the density: 4.61 g/cm³. The calculation puts the energy relative to the lowest polymorph listed for this composition at 0.5589 eV per atom.

=====

Entry 4:
A plane-wave DFT calculation with PBE-GGA was carried out for a relaxed structure of Na2Sn2Cl.

POSCAR file:
```
Na2Sn2Cl
1.0
5.3261 0.0000 0.0000
0.0000 5.3261 0.0000
2.6630 2.6630 6.1099
Na Sn Cl
2 2 1
Cartesian
5.3261 2.6630 3.0550 Na
2.6630 5.3261 3.0550 Na
5.3261 5.3261 4.7808 Sn
2.6630 2.6630 1.3292 Sn
0.0000 0.0000 0.0000 Cl
```

Output
As for the magnetic moment: 0.0 μB/f.u. The symmetry is I4/mmm. As for the density: 3.05 g/cm³. The calculation puts the energy relative to the lowest polymorph listed for this composition at 0.3304 eV per atom.